# 1
Below is Dy3Co after structural relaxation, with properties calculated at the PBE level.

Cell: 3.372 3.535 9.005 Å, 90.00 90.00 90.00°
Sites, in units of the cell vectors:
Dy (0.000, 0.000, 0.000)
Dy (0.000, 0.500, 0.345)
Dy (0.500, 0.500, 0.708)
Co (0.500, 0.000, 0.488)

theoretical density: 8.453 g cm⁻³
energy of formation from the pure elements: 0.143 eV per atom
SG: Pmm2 (25)

# 2
Below is DyErCo after structural relaxation, with properties calculated at the PBE level.

Cell: 12.993 3.347 6.696 Å, 90.00 104.97 90.00°
Sites, in units of the cell vectors:
Dy (0.129, 0.000, 0.065)
Dy (0.371, 0.500, 0.935)
Dy (0.629, 0.500, 0.065)
Dy (0.871, 0.000, 0.935)
Er (0.128, 0.000, 0.564)
Er (0.372, 0.500, 0.436)
Er (0.628, 0.500, 0.564)
Er (0.872, 0.000, 0.436)
Co (0.000, 0.500, 0.253)
Co (0.000, 0.500, 0.747)
Co (0.500, 0.000, 0.253)
Co (0.500, 0.000, 0.747)

theoretical density: 9.178 g cm⁻³
energy of formation from the pure elements: -0.132 eV per atom
SG: C2/m (12)

# 3
Below is Dy3ErCo after structural relaxation, with properties calculated at the PBE level.

Cell: 5.259 5.259 5.259 Å, 90.00 90.00 90.00°
Sites, in units of the cell vectors:
Dy (0.000, 0.000, 0.500)
Dy (0.000, 0.500, 0.000)
Dy (0.500, 0.000, 0.000)
Er (0.500, 0.500, 0.500)
Co (0.000, 0.000, 0.000)

theoretical density: 8.146 g cm⁻³
energy of formation from the pure elements: 0.012 eV per atom
SG: Pm-3m (221)

# 4
Below is Dy4ErCo4 after structural relaxation, with properties calculated at the PBE level.

Cell: 8.364 8.364 5.573 Å, 90.00 90.00 90.00°
Sites, in units of the cell vectors:
Dy (0.060, 0.675, 0.131)
Dy (0.175, 0.940, 0.631)
Dy (0.325, 0.560, 0.631)
Dy (0.440, 0.825, 0.131)
Dy (0.560, 0.175, 0.869)
Dy (0.675, 0.440, 0.369)
Dy (0.825, 0.060, 0.369)
Dy (0.940, 0.325, 0.869)
Er (0.250, 0.250, 0.250)
Er (0.750, 0.750, 0.750)
Co (0.011, 0.613, 0.613)
Co (0.113, 0.989, 0.113)
Co (0.387, 0.511, 0.113)
Co (0.489, 0.887, 0.613)
Co (0.511, 0.113, 0.387)
Co (0.613, 0.489, 0.887)
Co (0.887, 0.011, 0.887)
Co (0.989, 0.387, 0.387)

theoretical density: 8.969 g cm⁻³
energy of formation from the pure elements: -0.071 eV per atom
SG: P4_2/n (86)

# 5
Below is Dy4Er3Co2 after structural relaxation, with properties calculated at the PBE level.

Cell: 8.315 8.315 8.872 Å, 112.54 112.54 24.93°
Sites, in units of the cell vectors:
Dy (0.134, 0.134, 0.393)
Dy (0.272, 0.272, 0.852)
Dy (0.728, 0.728, 0.148)
Dy (0.866, 0.866, 0.607)
Er (0.428, 0.428, 0.307)
Er (0.500, 0.500, 0.000)
Er (0.572, 0.572, 0.693)
Co (0.118, 0.118, 0.937)
Co (0.882, 0.882, 0.063)

theoretical density: 8.863 g cm⁻³
energy of formation from the pure elements: -0.112 eV per atom
SG: C2/m (12)

# 6
Below is DyEr3Co after structural relaxation, with properties calculated at the PBE level.

Cell: 7.703 7.182 9.962 Å, 90.00 107.39 90.00°
Sites, in units of the cell vectors:
Dy (0.189, 0.055, 0.258)
Dy (0.189, 0.445, 0.758)
Dy (0.811, 0.555, 0.242)
Dy (0.811, 0.945, 0.742)
Er (0.082, 0.706, 0.032)
Er (0.082, 0.794, 0.532)
Er (0.291, 0.510, 0.382)
Er (0.291, 0.990, 0.882)
Er (0.414, 0.127, 0.606)
Er (0.414, 0.373, 0.106)
Er (0.586, 0.627, 0.894)
Er (0.586, 0.873, 0.394)
Er (0.709, 0.010, 0.118)
Er (0.709, 0.490, 0.618)
Er (0.918, 0.206, 0.468)
Er (0.918, 0.294, 0.968)
Co (0.455, 0.747, 0.608)
Co (0.455, 0.753, 0.108)
Co (0.545, 0.247, 0.892)
Co (0.545, 0.253, 0.392)

theoretical density: 9.134 g cm⁻³
energy of formation from the pure elements: -0.036 eV per atom
SG: P2_1/c (14)

# 7
Below is DyEr2Co2 after structural relaxation, with properties calculated at the PBE level.

Cell: 11.189 3.703 5.457 Å, 90.00 103.63 90.00°
Sites, in units of the cell vectors:
Dy (0.000, 0.000, 0.000)
Dy (0.500, 0.500, 0.000)
Er (0.149, 0.500, 0.582)
Er (0.351, 0.000, 0.418)
Er (0.649, 0.000, 0.582)
Er (0.851, 0.500, 0.418)
Co (0.217, 0.500, 0.105)
Co (0.283, 0.000, 0.895)
Co (0.717, 0.000, 0.105)
Co (0.783, 0.500, 0.895)

theoretical density: 9.292 g cm⁻³
energy of formation from the pure elements: -0.100 eV per atom
SG: C2/m (12)

# 8
Below is Dy3ErCo2 after structural relaxation, with properties calculated at the PBE level.

Cell: 8.105 8.105 8.105 Å, 132.58 71.61 129.70°
Sites, in units of the cell vectors:
Dy (0.015, 0.750, 0.265)
Dy (0.250, 0.250, 0.000)
Dy (0.485, 0.750, 0.735)
Dy (0.515, 0.250, 0.265)
Dy (0.750, 0.750, 0.000)
Dy (0.985, 0.250, 0.735)
Er (0.000, 0.500, 0.500)
Er (0.500, 0.000, 0.500)
Co (0.136, 0.221, 0.356)
Co (0.364, 0.721, 0.085)
Co (0.636, 0.279, 0.915)
Co (0.864, 0.779, 0.644)

theoretical density: 8.694 g cm⁻³
energy of formation from the pure elements: -0.074 eV per atom
SG: Ibam (72)